# In3SiAu

An optimized crystal structure of In3SiAu (PBE, Alexandria).

Cell and atoms, written as CIF:
```
data_In3SiAu
_chemical_formula_sum 'In3 Si1 Au1'
_symmetry_space_group_name_H-M 'P 1'
_symmetry_Int_Tables_number 1
_symmetry_space_group_name_Hall 'P 1'
_cell_length_a 5.1915
_cell_length_b 5.1915
_cell_length_c 5.1915
_cell_angle_alpha 90.00
_cell_angle_beta 90.00
_cell_angle_gamma 90.00
loop_
_atom_site_label
_atom_site_type_symbol
_atom_site_fract_x
_atom_site_fract_y
_atom_site_fract_z
In1 In 0.0000 0.0000 0.5000
In2 In 0.0000 0.5000 0.0000
In3 In 0.5000 0.0000 0.0000
Si1 Si 0.0000 0.0000 0.0000
Au1 Au 0.5000 0.5000 0.5000
```

Results
formation energy from raw total energies: 0.45 eV/atom
DOS(E_F): 0.85 states/eV/atom
SG: Pm-3m (221)
raw total energy: -2.94 eV/atom
mass density: 6.76 g/cm³
excess energy over the best structure of this formula in the dataset: 0 meV/atom